Entry 1:
Below is a geometry-optimized ErAl4Cu2 structure, with properties calculated at the PBE level.

CIF file:
```
data_ErAl4Cu2
_chemical_formula_sum 'Er2 Al8 Cu4'
_symmetry_space_group_name_H-M 'C m m m'
_symmetry_Int_Tables_number 65
_symmetry_space_group_name_Hall '-C 2 2'
_cell_length_a 4.019
_cell_length_b 14.968
_cell_length_c 3.930
_cell_angle_alpha 90.00
_cell_angle_beta 90.00
_cell_angle_gamma 90.00
loop_
_atom_site_label
_atom_site_type_symbol
_atom_site_fract_x
_atom_site_fract_y
_atom_site_fract_z
_atom_site_occupancy
Er1 Er 0.000 0.000 0.000 1
Al1 Al 0.000 0.179 0.500 1
Al2 Al 0.000 0.318 0.000 1
Cu1 Cu 0.000 0.420 0.500 1
```

## Properties
Relative energy among the computed polymorphs, meV/atom: 70
VASP energy, eV/cell: -59.6
Magnetization, μB/cell: 0.000
Calculated volume, Å³/atom: 16.89
Energy relative to the elements, meV per atom: -297

Entry 2:
Below is a geometry-optimized Er2Al8Cu structure, with properties calculated at the PBE level.

CIF file:
```
data_Er2Al8Cu
_chemical_formula_sum 'Er2 Al8 Cu1'
_symmetry_space_group_name_H-M 'P 4/m m m'
_symmetry_Int_Tables_number 123
_symmetry_space_group_name_Hall '-P 4 2'
_cell_length_a 4.269
_cell_length_b 4.269
_cell_length_c 11.048
_cell_angle_alpha 90.00
_cell_angle_beta 90.00
_cell_angle_gamma 90.00
loop_
_atom_site_label
_atom_site_type_symbol
_atom_site_fract_x
_atom_site_fract_y
_atom_site_fract_z
_atom_site_occupancy
Er1 Er 0.000 0.000 0.188 1
Al1 Al 0.000 0.500 0.000 1
Al2 Al 0.000 0.500 0.377 1
Al3 Al 0.500 0.500 0.197 1
Cu1 Cu 0.000 0.000 0.500 1
```

## Properties
VASP energy, eV/cell: -46.8
Magnetization, μB/cell: 0.000
Calculated volume, Å³/atom: 18.30
Energy relative to the elements, meV per atom: -329

Entry 3:
Below is a geometry-optimized Er3Al3Cu2 structure, with properties calculated at the PBE level.

CIF file:
```
data_Er3Al3Cu2
_chemical_formula_sum 'Er12 Al12 Cu8'
_symmetry_space_group_name_H-M 'P n m a'
_symmetry_Int_Tables_number 62
_cell_length_a 7.991
_cell_length_b 14.588
_cell_length_c 5.618
_cell_angle_alpha 90.00
_cell_angle_beta 90.00
_cell_angle_gamma 90.00
loop_
_symmetry_equiv_pos_as_xyz
'x,y,z'
'-x,-y,-z'
'-x+1/2,-y,z+1/2'
'x+1/2,y,-z+1/2'
'x+1/2,-y+1/2,-z+1/2'
'-x+1/2,y+1/2,z+1/2'
'-x,y+1/2,-z'
'x,-y+1/2,z'
loop_
_atom_site_label
_atom_site_type_symbol
_atom_site_fract_x
_atom_site_fract_y
_atom_site_fract_z
_atom_site_occupancy
Er1 Er 0.037 0.112 0.119 1
Er2 Er 0.182 0.250 0.615 1
Al1 Al 0.171 0.750 0.604 1
Al2 Al 0.189 0.036 0.610 1
Cu1 Cu 0.097 0.605 0.376 1
```

## Properties
VASP energy, eV/cell: -144.8
Magnetization, μB/cell: 0.000
Calculated volume, Å³/atom: 20.46
Energy relative to the elements, meV per atom: -388

Entry 4:
Below is a geometry-optimized Er3Al2Cu structure, with properties calculated at the PBE level.

CIF file:
```
data_Er3Al2Cu
_chemical_formula_sum 'Er3 Al2 Cu1'
_symmetry_space_group_name_H-M 'P 4/m m m'
_symmetry_Int_Tables_number 123
_symmetry_space_group_name_Hall '-P 4 2'
_cell_length_a 3.397
_cell_length_b 3.397
_cell_length_c 11.448
_cell_angle_alpha 90.00
_cell_angle_beta 90.00
_cell_angle_gamma 90.00
loop_
_atom_site_label
_atom_site_type_symbol
_atom_site_fract_x
_atom_site_fract_y
_atom_site_fract_z
_atom_site_occupancy
Er1 Er 0.000 0.000 0.000 1
Er2 Er 0.000 0.000 0.348 1
Al1 Al 0.500 0.500 0.175 1
Cu1 Cu 0.500 0.500 0.500 1
```

## Properties
VASP energy, eV/cell: -27.4
Magnetization, μB/cell: 0.000
Calculated volume, Å³/atom: 22.01
Energy relative to the elements, meV per atom: -357

Entry 5:
Below is a geometry-optimized ErAl6Cu4 structure, with properties calculated at the PBE level.

CIF file:
```
data_ErAl6Cu4
_chemical_formula_sum 'Er2 Al12 Cu8'
_symmetry_space_group_name_H-M 'I -4 2 m'
_symmetry_Int_Tables_number 121
_symmetry_space_group_name_Hall 'I -4 2'
_cell_length_a 6.323
_cell_length_b 6.323
_cell_length_c 9.071
_cell_angle_alpha 90.00
_cell_angle_beta 90.00
_cell_angle_gamma 90.00
loop_
_atom_site_label
_atom_site_type_symbol
_atom_site_fract_x
_atom_site_fract_y
_atom_site_fract_z
_atom_site_occupancy
Er1 Er 0.000 0.000 0.000 1
Al1 Al 0.000 0.500 0.000 1
Al2 Al 0.194 0.194 0.703 1
Cu1 Cu 0.165 0.165 0.423 1
```

## Properties
VASP energy, eV/cell: -91.8
Magnetization, μB/cell: 0.000
Calculated volume, Å³/atom: 16.49
Energy relative to the elements, meV per atom: -229

Entry 6:
Below is a geometry-optimized ErAl6Cu12 structure, with properties calculated at the PBE level.

CIF file:
```
data_ErAl6Cu12
_chemical_formula_sum 'Er3 Al18 Cu36'
_symmetry_space_group_name_H-M 'R -3 m'
_symmetry_Int_Tables_number 166
_symmetry_space_group_name_Hall '-R 3 2"'
_cell_length_a 10.7759
_cell_length_b 10.7759
_cell_length_c 8.3954
_cell_angle_alpha 90.00
_cell_angle_beta 90.00
_cell_angle_gamma 120.00
loop_
_atom_site_label
_atom_site_type_symbol
_atom_site_fract_x
_atom_site_fract_y
_atom_site_fract_z
_atom_site_occupancy
Er1 Er 0.0000 0.0000 0.0000 1
Al1 Al 0.0575 0.5288 0.2417 1
Cu1 Cu 0.0000 0.3884 0.5000 1
Cu2 Cu 0.0834 0.1669 0.2871 1
```

## Properties
VASP energy, eV/cell: -233.2
Magnetization, μB/cell: 0.000
Calculated volume, Å³/atom: 14.81
Energy relative to the elements, meV per atom: -82

Entry 7:
Below is a geometry-optimized Er3Al2Cu4 structure, with properties calculated at the PBE level.

CIF file:
```
data_Er3Al2Cu4
_chemical_formula_sum 'Er6 Al4 Cu8'
_symmetry_space_group_name_H-M 'C 1 2/m 1'
_symmetry_Int_Tables_number 12
_cell_length_a 10.542
_cell_length_b 4.286
_cell_length_c 8.198
_cell_angle_alpha 90.00
_cell_angle_beta 113.99
_cell_angle_gamma 90.00
loop_
_symmetry_equiv_pos_as_xyz
'x,y,z'
'-x,-y,-z'
'-x,y,-z'
'x,-y,z'
'x+1/2,y+1/2,z'
'-x+1/2,-y+1/2,-z'
'-x+1/2,y+1/2,-z'
'x+1/2,-y+1/2,z'
loop_
_atom_site_label
_atom_site_type_symbol
_atom_site_fract_x
_atom_site_fract_y
_atom_site_fract_z
_atom_site_occupancy
Er1 Er 0.000 0.000 0.000 1
Er2 Er 0.138 0.500 0.695 1
Al1 Al 0.162 0.500 0.333 1
Cu1 Cu 0.082 0.000 0.416 1
Cu2 Cu 0.227 0.500 0.068 1
```

## Properties
VASP energy, eV/cell: -81.6
Magnetization, μB/cell: 0.000
Calculated volume, Å³/atom: 18.80
Energy relative to the elements, meV per atom: -361

Entry 8:
Below is a geometry-optimized Er2AlCu9 structure, with properties calculated at the PBE level.

CIF file:
```
data_Er2AlCu9
_chemical_formula_sum 'Er6 Al3 Cu27'
_symmetry_space_group_name_H-M 'R -3 m'
_symmetry_Int_Tables_number 166
_symmetry_space_group_name_Hall '-R 3 2"'
_cell_length_a 5.0280
_cell_length_b 5.0280
_cell_length_c 24.7229
_cell_angle_alpha 90.00
_cell_angle_beta 90.00
_cell_angle_gamma 120.00
loop_
_atom_site_label
_atom_site_type_symbol
_atom_site_fract_x
_atom_site_fract_y
_atom_site_fract_z
_atom_site_occupancy
Er1 Er 0.0000 0.0000 0.1356 1
Al1 Al 0.0000 0.0000 0.0000 1
Cu1 Cu 0.0000 0.0000 0.3330 1
Cu2 Cu 0.0000 0.0000 0.5000 1
Cu3 Cu 0.0022 0.5011 0.9181 1
```

## Properties
VASP energy, eV/cell: -153.2
Magnetization, μB/cell: 0.000
Calculated volume, Å³/atom: 15.04
Energy relative to the elements, meV per atom: -112

Entry 9:
Below is a geometry-optimized ErAl2Cu6 structure, with properties calculated at the PBE level.

CIF file:
```
data_ErAl2Cu6
_chemical_formula_sum 'Er2 Al4 Cu12'
_symmetry_space_group_name_H-M 'I m m m'
_symmetry_Int_Tables_number 71
_symmetry_space_group_name_Hall '-I 2 2'
_cell_length_a 3.332
_cell_length_b 6.758
_cell_length_c 12.281
_cell_angle_alpha 90.00
_cell_angle_beta 90.00
_cell_angle_gamma 90.00
loop_
_atom_site_label
_atom_site_type_symbol
_atom_site_fract_x
_atom_site_fract_y
_atom_site_fract_z
_atom_site_occupancy
Er1 Er 0.000 0.000 0.000 1
Al1 Al 0.000 0.500 0.138 1
Cu1 Cu 0.000 0.171 0.500 1
Cu2 Cu 0.000 0.313 0.319 1
```

## Properties
VASP energy, eV/cell: -75.0
Magnetization, μB/cell: 0.000
Calculated volume, Å³/atom: 15.37
Energy relative to the elements, meV per atom: -98

Entry 10:
Below is a geometry-optimized Er2AlCu3 structure, with properties calculated at the PBE level.

CIF file:
```
data_Er2AlCu3
_chemical_formula_sum 'Er4 Al2 Cu6'
_symmetry_space_group_name_H-M 'I m m 2'
_symmetry_Int_Tables_number 44
_cell_length_a 3.721
_cell_length_b 4.028
_cell_length_c 15.386
_cell_angle_alpha 90.00
_cell_angle_beta 90.00
_cell_angle_gamma 90.00
loop_
_symmetry_equiv_pos_as_xyz
'x,y,z'
'-x,-y,z'
'-x,y,z'
'x,-y,z'
'x+1/2,y+1/2,z+1/2'
'-x+1/2,-y+1/2,z+1/2'
'-x+1/2,y+1/2,z+1/2'
'x+1/2,-y+1/2,z+1/2'
loop_
_atom_site_label
_atom_site_type_symbol
_atom_site_fract_x
_atom_site_fract_y
_atom_site_fract_z
_atom_site_occupancy
Er1 Er 0.000 0.000 0.000 1
Er2 Er 0.000 0.500 0.266 1
Al1 Al 0.000 0.000 0.596 1
Cu1 Cu 0.000 0.000 0.435 1
Cu2 Cu 0.000 0.500 0.681 1
Cu3 Cu 0.000 0.500 0.838 1
```

## Properties
Relative energy among the computed polymorphs, meV/atom: 24
VASP energy, eV/cell: -53.6
Magnetization, μB/cell: 0.000
Calculated volume, Å³/atom: 19.22
Energy relative to the elements, meV per atom: -275

Entry 11:
Below is a geometry-optimized ErAl2Cu structure, with properties calculated at the PBE level.

CIF file:
```
data_ErAl2Cu
_chemical_formula_sum 'Er8 Al16 Cu8'
_symmetry_space_group_name_H-M 'P n m a'
_symmetry_Int_Tables_number 62
_cell_length_a 15.564
_cell_length_b 6.790
_cell_length_c 5.456
_cell_angle_alpha 90.00
_cell_angle_beta 90.00
_cell_angle_gamma 90.00
loop_
_symmetry_equiv_pos_as_xyz
'x,y,z'
'-x,-y,-z'
'-x+1/2,-y,z+1/2'
'x+1/2,y,-z+1/2'
'x+1/2,-y+1/2,-z+1/2'
'-x+1/2,y+1/2,z+1/2'
'-x,y+1/2,-z'
'x,-y+1/2,z'
loop_
_atom_site_label
_atom_site_type_symbol
_atom_site_fract_x
_atom_site_fract_y
_atom_site_fract_z
_atom_site_occupancy
Er1 Er 0.110 0.250 0.236 1
Er2 Er 0.144 0.750 0.471 1
Al1 Al 0.033 0.052 0.741 1
Al2 Al 0.216 0.555 0.961 1
Cu1 Cu 0.073 0.750 0.989 1
Cu2 Cu 0.173 0.250 0.725 1
```

## Properties
VASP energy, eV/cell: -143.1
Magnetization, μB/cell: 0.000
Calculated volume, Å³/atom: 18.02
Energy relative to the elements, meV per atom: -437

Entry 12:
Below is a geometry-optimized ErAl3Cu structure, with properties calculated at the PBE level.

CIF file:
```
data_ErAl3Cu
_chemical_formula_sum 'Er2 Al6 Cu2'
_symmetry_space_group_name_H-M 'I 4 m m'
_symmetry_Int_Tables_number 107
_symmetry_space_group_name_Hall 'I 4 -2'
_cell_length_a 4.098
_cell_length_b 4.098
_cell_length_c 10.780
_cell_angle_alpha 90.00
_cell_angle_beta 90.00
_cell_angle_gamma 90.00
loop_
_atom_site_label
_atom_site_type_symbol
_atom_site_fract_x
_atom_site_fract_y
_atom_site_fract_z
_atom_site_occupancy
Er1 Er 0.000 0.000 0.000 1
Al1 Al 0.000 0.000 0.403 1
Al2 Al 0.000 0.500 0.245 1
Cu1 Cu 0.000 0.000 0.620 1
```

## Properties
Relative energy among the computed polymorphs, meV/atom: 0
VASP energy, eV/cell: -44.0
Magnetization, μB/cell: 0.000
Calculated volume, Å³/atom: 18.10
Energy relative to the elements, meV per atom: -420